1.
DFT (meta-GGA SCAN) results for AgPtAu2 at its PBEsol-relaxed geometry.

```
AgPtAu2
1.0
-1.839 -1.520 1.437
2.153 -1.292 -1.205
5.211 1.241 7.982
Pt Au Ag
1 2 1
Cartesian
2.762 -0.786 4.107
3.903 0.929 5.979
1.308 0.311 2.003
0.157 -1.406 0.116
```

DFT formation energy ... 0.01 eV per atom
Mass density ... 17.69 Mg/m³

=====

2.
DFT (meta-GGA SCAN) results for AgPtAu2 at its PBEsol-relaxed geometry.

```
AgPtAu2
1.0
-1.347 2.370 -0.688
-1.537 -0.193 2.346
5.641 4.384 4.055
Au Pt Ag
2 1 1
Cartesian
1.388 1.078 0.997
4.253 3.305 3.057
-1.442 1.088 0.829
1.378 3.280 2.856
```

DFT formation energy ... 0.00 eV per atom
Mass density ... 17.83 Mg/m³

=====

3.
DFT (meta-GGA SCAN) results for AgPtAu2 at its PBEsol-relaxed geometry.

```
AgPtAu2
1.0
-1.885 -3.559 0.396
1.920 -0.627 3.506
-2.979 3.877 -0.010
Au Pt Ag
2 1 1
Cartesian
-2.423 -0.887 1.168
0.000 0.000 0.000
0.018 -2.093 1.951
-0.521 0.579 2.724
```

DFT formation energy ... 0.01 eV per atom
Mass density ... 17.82 Mg/m³

=====

4.
DFT (meta-GGA SCAN) results for AgPtAu2 at its PBEsol-relaxed geometry.

```
AgPtAu2
1.0
-2.466 -1.803 -3.330
0.957 -4.142 -1.532
-2.805 -3.435 0.870
Au Ag Pt
2 1 1
Cartesian
-3.235 -7.035 -2.994
-1.078 -2.345 -0.998
0.000 0.000 0.000
-2.157 -4.690 -1.996
```

DFT formation energy ... 0.02 eV per atom
Mass density ... 17.73 Mg/m³

=====

5.
DFT (meta-GGA SCAN) results for AgPt4Au at its PBEsol-relaxed geometry.

```
AgPt4Au
1.0
-4.749 0.780 -1.975
-3.905 -3.191 1.278
-3.846 1.694 3.066
Pt Au Ag
4 1 1
Cartesian
-7.062 0.122 -0.099
-6.640 -1.864 1.528
-4.687 -0.268 0.889
-6.611 0.579 2.422
0.000 0.000 0.000
-9.375 -0.537 1.777
```

DFT formation energy ... 0.11 eV per atom
Mass density ... 18.10 Mg/m³

=====

6.
DFT (meta-GGA SCAN) results for AgPtAu2 at its PBEsol-relaxed geometry.

```
AgPtAu2
1.0
2.863 0.000 0.000
0.000 4.789 0.000
-1.431 -2.395 4.787
Ag Au Pt
1 2 1
Cartesian
0.000 2.395 0.000
1.431 2.395 2.430
0.000 0.000 2.357
1.431 0.000 0.000
```

DFT formation energy ... 0.05 eV per atom
Mass density ... 17.63 Mg/m³

=====

7.
DFT (meta-GGA SCAN) results for AgPtAu2 at its PBEsol-relaxed geometry.

```
AgPtAu2
1.0
-1.780 1.451 1.618
-2.772 -0.273 -0.366
-1.641 -6.739 6.678
Ag Au Pt
1 2 1
Cartesian
-1.549 -1.420 2.009
-4.644 -4.138 5.920
-4.553 1.157 1.271
-3.096 -2.761 3.949
```

DFT formation energy ... -0.01 eV per atom
Mass density ... 17.84 Mg/m³

=====

8.
DFT (meta-GGA SCAN) results for AgPtAu at its PBEsol-relaxed geometry.

```
AgPtAu
1.0
-2.634 -0.836 -0.097
1.960 -1.872 0.547
-0.347 2.696 6.817
Ag Pt Au
1 1 1
Cartesian
-0.002 0.004 0.019
-0.563 -0.910 2.555
-0.456 0.895 4.694
```

DFT formation energy ... 0.00 eV per atom
Mass density ... 17.16 Mg/m³

=====

9.
DFT (meta-GGA SCAN) results for PuAgAu2 at its PBEsol-relaxed geometry.

```
PuAgAu2
1.0
-0.703 -4.680 -0.979
2.845 -3.344 2.018
-1.767 -2.941 3.403
Au Pu Ag
2 1 1
Cartesian
0.281 -8.224 3.331
0.094 -2.741 1.110
0.000 0.000 0.000
0.188 -5.483 2.221
```

DFT formation energy ... -0.23 eV per atom
Mass density ... 15.52 Mg/m³

=====

10.
DFT (meta-GGA SCAN) results for Rb2AgAu at its PBEsol-relaxed geometry.

```
Rb2AgAu
1.0
5.745 0.000 0.000
2.872 4.975 0.000
2.872 1.658 4.691
Rb Ag Au
2 1 1
Cartesian
8.617 4.975 3.518
2.872 1.658 1.173
0.000 0.000 0.000
5.745 3.317 2.345
```

DFT formation energy ... -0.12 eV per atom
Mass density ... 5.89 Mg/m³

=====

11.
DFT (meta-GGA SCAN) results for Rb2Ag2Au at its PBEsol-relaxed geometry.

```
Rb2Ag2Au
1.0
-0.142 -2.029 3.268
2.937 -2.169 -1.219
5.142 8.546 3.263
Rb Ag Au
2 2 1
Cartesian
2.750 -0.766 1.911
5.188 5.114 3.401
3.199 2.209 3.778
4.738 2.139 1.534
0.000 0.000 0.000
```

DFT formation energy ... -0.08 eV per atom
Mass density ... 6.45 Mg/m³

=====

12.
DFT (meta-GGA SCAN) results for RbAgAu3 at its PBEsol-relaxed geometry.

```
RbAgAu3
1.0
-0.730 0.867 5.004
-4.738 -1.938 -0.355
1.830 -4.671 1.077
Rb Ag Au
1 1 3
Cartesian
-1.819 -2.871 2.863
0.000 0.000 0.000
-2.369 -0.969 -0.178
0.915 -2.336 0.538
-0.365 0.434 2.502
```

DFT formation energy ... 0.14 eV per atom
Mass density ... 9.64 Mg/m³

=====

13.
DFT (meta-GGA SCAN) results for RbAg2AuS at its PBEsol-relaxed geometry.

```
RbAg2AuS
1.0
4.879 0.000 0.000
0.000 5.177 0.000
0.000 0.000 5.177
S Ag Rb Au
1 2 1 1
Cartesian
2.439 0.000 0.000
0.000 2.588 0.000
0.000 0.000 2.588
2.439 2.588 2.588
0.000 0.000 0.000
```

E_form (uncorrected) ... 0.09 eV per formula unit
Mass density ... 6.73 Mg/m³

=====

14.
DFT (meta-GGA SCAN) results for ReAg2Au at its PBEsol-relaxed geometry.

```
ReAg2Au
1.0
2.689 0.000 0.000
0.000 4.990 0.041
-1.344 -0.690 4.748
Ag Au Re
2 1 1
Cartesian
1.344 3.373 2.374
0.000 0.928 2.415
1.344 0.000 0.000
0.000 2.495 0.020
```

DFT formation energy ... 0.49 eV per atom
Mass density ... 15.59 Mg/m³

=====

15.
DFT (meta-GGA SCAN) results for Re2AgAu at its PBEsol-relaxed geometry.

```
Re2AgAu
1.0
4.430 0.000 0.000
2.215 3.837 0.000
2.215 1.279 3.617
Re Ag Au
2 1 1
Cartesian
6.645 3.837 2.713
2.215 1.279 0.904
0.000 0.000 0.000
4.430 2.558 1.809
```

DFT formation energy ... 1.09 eV per atom
Mass density ... 18.29 Mg/m³

=====

16.
DFT (meta-GGA SCAN) results for ReAg2Au at its PBEsol-relaxed geometry.

```
ReAg2Au
1.0
2.700 0.000 0.000
0.000 2.700 0.000
0.000 0.000 8.741
Ag Re Au
2 1 1
Cartesian
0.000 0.000 2.224
0.000 0.000 6.517
1.350 1.350 4.370
1.350 1.350 0.000
```

DFT formation energy ... 0.43 eV per atom
Mass density ... 15.60 Mg/m³

=====

17.
DFT (meta-GGA SCAN) results for ReAg2Au at its PBEsol-relaxed geometry.

```
ReAg2Au
1.0
-2.622 -0.297 -0.558
0.711 -4.756 -0.807
-0.906 -0.944 4.761
Ag Au Re
2 1 1
Cartesian
-0.955 -2.527 -0.683
0.000 0.000 0.000
-1.764 -0.620 2.101
-0.097 -2.850 1.977
```

DFT formation energy ... 0.48 eV per atom
Mass density ... 15.32 Mg/m³

=====

18.
DFT (meta-GGA SCAN) results for Re2AgAu at its PBEsol-relaxed geometry.

```
Re2AgAu
1.0
-1.525 3.410 0.542
-3.127 -1.113 -1.797
0.654 -2.491 4.369
Ag Au Re
1 1 2
Cartesian
-2.326 1.148 -0.627
0.000 0.000 0.000
-2.400 -1.228 0.972
-1.599 1.033 2.142
```

DFT formation energy ... 0.69 eV per atom
Mass density ... 18.30 Mg/m³

=====

19.
DFT (meta-GGA SCAN) results for AgRh2Au at its PBEsol-relaxed geometry.

```
AgRh2Au
1.0
2.768 0.000 0.000
-1.384 4.548 -0.001
0.000 -0.860 4.789
Ag Au Rh
1 1 2
Cartesian
1.384 -0.405 2.351
1.384 2.021 1.239
1.384 3.668 4.660
0.000 1.662 3.722
```

DFT formation energy ... 0.18 eV per atom
Mass density ... 14.06 Mg/m³

=====

20.
DFT (meta-GGA SCAN) results for AgRuAu at its PBEsol-relaxed geometry.

```
AgRuAu
1.0
-1.208 -0.905 -2.263
0.009 -1.637 2.173
-5.644 4.141 2.231
Au Ru Ag
1 1 1
Cartesian
-2.705 -0.304 0.692
-4.166 1.914 1.458
-6.818 1.586 2.132
```

DFT formation energy ... 0.40 eV per atom
Mass density ... 14.27 Mg/m³

=====

21.
DFT (meta-GGA SCAN) results for AgRuAu at its PBEsol-relaxed geometry.

```
AgRuAu
1.0
2.711 0.000 0.000
0.000 4.081 0.000
-1.355 -2.041 4.235
Ag Au Ru
1 1 1
Cartesian
1.355 2.041 4.219
1.355 2.041 1.437
0.000 0.000 2.814
```

DFT formation energy ... 0.45 eV per atom
Mass density ... 14.39 Mg/m³

=====

22.
DFT (meta-GGA SCAN) results for AgRuAu at its PBEsol-relaxed geometry.

```
AgRuAu
1.0
-2.096 3.709 0.641
-2.617 0.437 3.394
1.123 2.572 3.268
Ag Ru Au
1 1 1
Cartesian
-1.795 3.359 3.652
0.000 0.000 0.000
-0.898 1.679 1.826
```

DFT formation energy ... 0.77 eV per atom
Mass density ... 11.92 Mg/m³

=====

23.
DFT (meta-GGA SCAN) results for AgRuAu at its PBEsol-relaxed geometry.

```
AgRuAu
1.0
-0.092 -0.503 2.631
-0.566 -4.408 -0.863
4.171 1.697 0.471
Ru Au Ag
1 1 1
Cartesian
0.982 -2.538 0.443
2.525 -0.703 1.937
-0.087 -0.476 2.490
```

DFT formation energy ... 0.48 eV per atom
Mass density ... 14.17 Mg/m³

=====

24.
DFT (meta-GGA SCAN) results for Ag3AuS2 at its PBEsol-relaxed geometry.

```
Ag3AuS2
1.0
9.577 0.000 0.000
0.000 9.577 0.000
0.000 0.000 9.577
Au S Ag
8 16 24
Cartesian
5.988 5.988 5.988
3.589 1.200 8.377
1.194 1.194 1.194
8.383 5.983 3.594
8.377 3.589 1.200
3.594 8.383 5.983
5.983 3.594 8.383
1.200 8.377 3.589
4.632 4.632 4.632
9.421 0.156 4.945
2.238 7.027 7.339
4.945 9.421 0.156
4.950 0.162 4.627
2.550 2.550 2.550
9.415 9.415 9.415
2.556 7.021 2.232
7.027 7.339 2.238
7.339 2.238 7.027
7.021 2.232 2.556
0.156 4.945 9.421
2.232 2.556 7.021
0.162 4.627 4.950
4.627 4.950 0.162
7.345 7.345 7.345
2.395 5.926 4.788
3.651 9.576 2.393
7.184 3.531 4.790
2.395 1.257 4.787
8.440 4.789 7.184
0.001 7.182 6.046
4.790 7.184 3.531
4.789 7.184 8.440
6.046 0.001 7.182
2.393 3.651 9.576
4.788 2.395 5.926
2.394 8.320 9.576
7.184 8.440 4.789
8.320 9.576 2.394
1.137 0.001 7.182
0.001 7.182 1.137
9.576 2.394 8.320
9.576 2.393 3.651
7.182 6.046 0.001
5.926 4.788 2.395
3.531 4.790 7.184
4.787 2.395 1.257
7.182 1.137 0.001
1.257 4.787 2.395
```

E_form (uncorrected) ... -0.63 eV per formula unit
Mass density ... 8.84 Mg/m³

=====

25.
DFT (meta-GGA SCAN) results for Ag3AuS2 at its PBEsol-relaxed geometry.

```
Ag3AuS2
1.0
-0.200 -4.748 2.321
3.877 1.881 3.067
-3.934 2.100 2.844
Au Ag S
1 3 2
Cartesian
-0.128 -0.384 4.116
1.939 0.940 1.533
-0.100 -2.374 1.161
-1.967 1.050 1.422
-0.198 -0.594 6.368
-0.058 -0.174 1.864
```

E_form (uncorrected) ... -0.53 eV per formula unit
Mass density ... 6.65 Mg/m³

=====

26.
DFT (meta-GGA SCAN) results for Ag6Au2Se3S at its PBEsol-relaxed geometry.

```
Ag6Au2Se3S
1.0
8.443 0.000 -0.004
-2.805 7.964 0.004
-2.821 -3.981 6.922
S Ag Se Au
2 12 6 4
Cartesian
-2.712 -0.913 5.391
2.857 1.121 1.531
3.572 -2.506 6.019
-3.523 5.483 4.264
0.716 2.482 2.661
4.873 -0.436 0.907
0.751 1.060 0.000
-0.733 6.519 0.903
-0.744 0.449 4.342
3.489 3.430 2.580
3.562 5.031 0.000
-0.671 5.017 3.463
4.900 0.959 3.459
3.593 0.470 6.011
6.904 1.364 1.728
1.287 -1.167 5.491
1.289 4.809 1.431
5.744 4.639 1.698
-3.828 2.985 5.194
-0.353 2.979 5.224
2.090 0.020 3.471
7.730 -0.971 1.701
2.139 2.988 5.217
2.142 5.960 3.451
```

E_form (uncorrected) ... -1.37 eV per formula unit
Mass density ... 9.35 Mg/m³

=====

27.
DFT (meta-GGA SCAN) results for AgSb2Au2 at its PBEsol-relaxed geometry.

```
AgSb2Au2
1.0
3.793 0.000 0.000
0.000 3.793 0.000
-1.897 -1.897 7.664
Sb Au Ag
2 2 1
Cartesian
0.000 0.000 6.078
1.897 1.897 1.586
0.000 1.897 3.832
1.897 0.000 3.832
0.000 0.000 0.000
```

E_form (uncorrected) ... 0.89 eV per formula unit
Mass density ... 11.22 Mg/m³